# 1
Below is crystalline Cs2LaCd2Se4 at its relaxed geometry, with properties calculated at the PBE level.

Lattice parameters (Å, degrees): 17.230 4.396 8.855 90.00 112.06 90.00
Space group C2/m (No. 12)
One atom of each set of equivalent atoms:
Cs 0.128 0.000 0.060
La 0.000 0.000 0.500
Cd 0.187 0.500 0.508
Se 0.027 0.500 0.286
Se 0.188 0.000 0.702

## Properties
DOS(E_F) ... 3.535 states/eV/f.u.
Magnetization ... 0.000 μB per formula unit
Crystal system ... monoclinic
Formation energy without anion corrections ... -1.148 eV per atom
V ... 621.6 Å³ per cell
Theoretical density ... 5.1 g cm⁻³


# 2
Below is crystalline CsLaCd2Tc at its relaxed geometry, with properties calculated at the PBE level.

Lattice parameters (Å, degrees): 5.666 5.666 5.034 90.00 90.00 90.00
Space group P4/mmm (No. 123)
One atom of each set of equivalent atoms:
Cs 0.000 0.000 0.000
La 0.500 0.500 0.000
Cd 0.000 0.500 0.500
Tc 0.500 0.500 0.500

## Properties
DOS(E_F) ... 3.155 states/eV/f.u.
Magnetization ... 0.000 μB per formula unit
Crystal system ... tetragonal
DFT formation energy ... 61 kJ/mol of formula units
V ... 161.6 Å³ per cell
Theoretical density ... 6.1 g cm⁻³


# 3
Below is crystalline Cs2LaCd2Te4 at its relaxed geometry, with properties calculated at the PBE level.

Lattice parameters (Å, degrees): 18.103 4.673 9.302 90.00 112.01 90.00
Space group C2/m (No. 12)
One atom of each set of equivalent atoms:
Cs 0.129 0.000 0.064
La 0.000 0.000 0.500
Cd 0.186 0.500 0.498
Te 0.024 0.500 0.276
Te 0.191 0.000 0.699

## Properties
DOS(E_F) ... 4.515 states/eV/f.u.
Magnetization ... 0.000 μB per formula unit
Crystal system ... monoclinic
Formation energy without anion corrections ... -0.942 eV per atom
V ... 729.5 Å³ per cell
Theoretical density ... 5.2 g cm⁻³


# 4
Below is crystalline CsLaCdTe3 at its relaxed geometry, with properties calculated at the PBE level.

Lattice parameters (Å, degrees): 10.333 4.713 11.281 90.00 109.13 90.00
Space group P2_1/m (No. 11)
One atom of each set of equivalent atoms:
Cs 0.217 0.250 0.245
La 0.325 0.750 0.861
Cd 0.084 0.250 0.612
Te 0.109 0.250 0.868
Te 0.210 0.750 0.542
Te 0.471 0.750 0.158

## Properties
DOS(E_F) ... 0.000 states/eV/f.u.
Magnetization ... 0.000 μB per formula unit
Crystal system ... monoclinic
Formation energy without anion corrections ... -1.150 eV per atom
V ... 519.0 Å³ per cell
Theoretical density ... 4.9 g cm⁻³


Which of these has the highest theoretical density?
CsLaCd2Tc